K2HoAgF6 | PBE-GGA | relaxed

a b c (Å): 6.3159 6.5408 10.7603
angles (deg): 90.00 125.04 90.00
Positions (direct):
K: 0.2330 0.0513 0.2476
K: 0.2330 0.4487 0.7476
K: 0.7670 0.5513 0.2524
K: 0.7670 0.9487 0.7524
Ho: 0.5000 0.0000 0.0000
Ho: 0.5000 0.5000 0.5000
Ag: 0.0000 0.0000 0.5000
Ag: 0.0000 0.5000 0.0000
F: 0.1747 0.1829 0.9546
F: 0.1747 0.3171 0.4546
F: 0.2627 0.7273 0.9393
F: 0.2627 0.7727 0.4393
F: 0.3668 0.0458 0.7648
F: 0.3668 0.4542 0.2648
F: 0.6332 0.5458 0.7352
F: 0.6332 0.9542 0.2352
F: 0.7373 0.2273 0.5607
F: 0.7373 0.2727 0.0607
F: 0.8253 0.6829 0.5454
F: 0.8253 0.8171 0.0454

Space-group type = No. 14
Calculated density = 4.24 g cm⁻³
Total magnetic moment = 0.22 μB per cell
Energy relative to the elements, uncorrected = -29.81 eV per formula unit
Fermi-level density of states = 0.00 states/eV/f.u.